An optimized crystal structure of Zn2SnN. Source: Alexandria, functional GGA-PBE.

Cell: 5.914 5.914 8.616 Å, 90.00 90.00 90.00°
Fractional positions:
Zn 0.108 0.250 0.125
Zn 0.250 0.608 0.375
Zn 0.250 0.892 0.875
Zn 0.392 0.250 0.625
Zn 0.608 0.750 0.625
Zn 0.750 0.108 0.875
Zn 0.750 0.392 0.375
Zn 0.892 0.750 0.125
Sn 0.000 0.000 0.500
Sn 0.000 0.500 0.750
Sn 0.500 0.000 0.250
Sn 0.500 0.500 0.000
N 0.000 0.000 0.000
N 0.000 0.500 0.250
N 0.500 0.000 0.750
N 0.500 0.500 0.500

Total energy: -3.526 eV per atom
Crystal system: tetragonal
Energy relative to the elements, uncorrected: 4.448 kcal/mol of atoms
Energy above the most stable polymorph in this dataset: 0 meV per atom

***

An optimized crystal structure of ZnSnN2. Source: Alexandria, functional GGA-PBE.

Cell: 5.911 6.811 5.541 Å, 90.00 90.00 90.00°
Fractional positions:
Zn 0.083 0.125 0.000
Zn 0.417 0.625 0.500
Zn 0.583 0.375 0.000
Zn 0.917 0.875 0.500
Sn 0.087 0.625 0.000
Sn 0.413 0.125 0.500
Sn 0.587 0.875 0.000
Sn 0.913 0.375 0.500
N 0.081 0.124 0.375
N 0.082 0.626 0.379
N 0.418 0.126 0.879
N 0.419 0.624 0.875
N 0.581 0.376 0.375
N 0.582 0.874 0.379
N 0.918 0.374 0.879
N 0.919 0.876 0.875

Total energy: -5.444 eV per atom
Crystal system: orthorhombic
Energy relative to the elements, uncorrected: 0.884 kcal/mol of atoms